Entry 1:
Crystalline SrTbMg2Tl4 at its relaxed geometry. Source: the Alexandria database, functional GGA-PBE.

Cell lengths 5.3014, 5.3014, 9.5203 Å; angles 73.83, 73.83, 60.00 degrees
Sites, in units of the cell vectors:
Sr: 0.0000 0.0000 0.0000
Tb: 0.5000 0.5000 0.5000
Mg: 0.7527 0.7527 0.7418
Mg: 0.2473 0.2473 0.2582
Tl: 0.1257 0.1257 0.6229
Tl: 0.6196 0.6196 0.1411
Tl: 0.8743 0.8743 0.3771
Tl: 0.3804 0.3804 0.8589

V = 27.4 A^3/atom
SG = R-3m
magnetic moment = 0.0 μB per formula unit

***

Entry 2:
Crystalline TbSc2Zn at its relaxed geometry. Source: the Alexandria database, functional GGA-PBE.

Cell lengths 4.5867, 4.4964, 4.4964 Å; angles 90.00, 90.00, 90.00 degrees
Sites, in units of the cell vectors:
Tb: 0.5000 0.5000 0.5000
Sc: 0.0000 0.0000 0.5000
Sc: 0.0000 0.5000 0.0000
Zn: 0.5000 0.0000 0.0000

V = 23.2 A^3/atom
SG = P4/mmm
magnetic moment = 0.6 μB per formula unit

***

The records above yield DFT formation energy values of -250, -60 meV/atom, respectively.
The records above yield E_tot values of -20.97, -18.81 eV/cell, respectively.